## SmDyIn (PBE)

Data for SmDyIn after structural relaxation.

Geometry as POSCAR:
```
SmDyIn
1.0
5.448 0.000 0.000
-2.724 4.718 0.000
0.000 0.000 6.790
In Dy Sm
2 2 2
direct
0.667 0.333 0.250
0.333 0.667 0.750
0.000 0.000 0.500
0.000 0.000 0.000
0.333 0.667 0.250
0.667 0.333 0.750
```

Calculated values
The density comes out at 8.14 g/cm³. As for the space group: P6_3/mmc, No. 194. The total energy comes out at -4.369 eV per atom.